(one)
DFT (PBE) results for a geometry-optimized Li2NiWI structure. Values from VASP.

Calculated values
Size of the total moment ... 0.91 μB per atom
Calculated volume ... 115 Å³ per cell
Theoretical density ... 5.5 g/cm³
Crystal system ... tetragonal

The structure in Quantum ESPRESSO input format:
```
&SYSTEM
  ibrav = 0, nat = 5, ntyp = 4
/
ATOMIC_SPECIES
I 126.90 I.upf
Ni 58.69 Ni.upf
W 183.84 W.upf
Li 6.94 Li.upf
CELL_PARAMETERS angstrom
4.8920 0.0000 0.0000
0.0000 4.8139 0.0000
0.0000 0.0000 4.8920
ATOMIC_POSITIONS crystal
I 0.0000 0.0000 0.0000
Ni 0.0000 0.5000 0.0000
W 0.5000 0.5000 0.5000
Li 0.0000 0.0000 0.5000
Li 0.5000 0.0000 0.0000
```


(two)
DFT (PBE) results for a geometry-optimized Li2NiWI structure. Values from VASP.

Calculated values
Size of the total moment ... 0.46 μB per atom
Calculated volume ... 129 Å³ per cell
Theoretical density ... 4.9 g/cm³
Crystal system ... tetragonal

The structure in Quantum ESPRESSO input format:
```
&SYSTEM
  ibrav = 0, nat = 5, ntyp = 4
/
ATOMIC_SPECIES
I 126.90 I.upf
Ni 58.69 Ni.upf
W 183.84 W.upf
Li 6.94 Li.upf
CELL_PARAMETERS angstrom
5.0606 0.0000 0.0000
0.0000 5.0300 0.0000
0.0000 0.0000 5.0606
ATOMIC_POSITIONS crystal
I 0.0000 0.5000 0.0000
Ni 0.5000 0.5000 0.5000
W 0.0000 0.0000 0.0000
Li 0.0000 0.0000 0.5000
Li 0.5000 0.0000 0.0000
```


Going by the energies, (one) is most stable and the next is 309 meV/atom up.